(1)
# Cu2PtAu

A relaxed Cu2PtAu crystal (PBE, Alexandria via LeMat-Bulk).

a b c (Å): 3.8088 3.8088 9.3350
angles (deg): 78.23 78.23 90.00
Positions (direct):
Au 0.7500 0.2500 0.5000
Au 0.0000 0.0000 0.0000
Cu 0.3750 0.3879 0.7500
Cu 0.6121 0.1250 0.2500
Cu 0.1379 0.6250 0.2500
Cu 0.8750 0.8621 0.7500
Pt 0.5000 0.5000 0.0000
Pt 0.2500 0.7500 0.5000

Output
M_tot, μB/f.u.: 0.0
Final energy, eV per atom: -4.1546
Calculated volume, A^3/atom: 16.21

---

(2)
# Cu2Pt2Au3

A relaxed Cu2Pt2Au3 crystal (PBE, Alexandria via LeMat-Bulk).

a b c (Å): 4.9247 4.8385 6.4010
angles (deg): 75.08 48.77 80.28
Positions (direct):
Cu 0.2832 0.1479 0.4175
Cu 0.7168 0.8521 0.5825
Au 0.8510 0.4147 0.2984
Au 0.0000 0.0000 0.0000
Au 0.1490 0.5853 0.7016
Pt 0.5804 0.2816 0.8550
Pt 0.4196 0.7184 0.1450

Output
M_tot, μB/f.u.: 0.0
Final energy, eV per atom: -4.3195
Calculated volume, A^3/atom: 15.84

---

(3)
# Cu2Pt2Au5

A relaxed Cu2Pt2Au5 crystal (PBE, Alexandria via LeMat-Bulk).

a b c (Å): 6.4765 6.4346 8.0683
angles (deg): 113.50 90.00 90.00
Positions (direct):
Au 0.6773 0.0490 0.7450
Au 0.1773 0.4510 0.2550
Au 0.8227 0.5490 0.7450
Au 0.0000 0.0000 0.0000
Au 0.3227 0.6960 0.7450
Au 0.1773 0.1960 0.7450
Au 0.3227 0.9510 0.2550
Au 0.5000 0.5000 0.0000
Au 0.6773 0.3040 0.2550
Au 0.8227 0.8040 0.2550
Cu 0.3718 0.1269 0.0000
Cu 0.6282 0.8731 0.0000
Cu 0.8718 0.3731 0.0000
Cu 0.1282 0.6269 0.0000
Pt 0.0000 0.7758 0.5517
Pt 0.0000 0.2242 0.4483
Pt 0.5000 0.7242 0.4483
Pt 0.5000 0.2758 0.5517

Output
M_tot, μB/f.u.: 0.0
Final energy, eV per atom: -3.8855
Calculated volume, A^3/atom: 17.13

---

(4)
# CuPt2Au

A relaxed CuPt2Au crystal (PBE, Alexandria via LeMat-Bulk).

a b c (Å): 9.1835 9.1835 9.1835
angles (deg): 17.58 17.58 17.58
Positions (direct):
Pt 0.4937 0.4937 0.4937
Pt 0.0063 0.0063 0.0063
Cu 0.7500 0.7500 0.7500
Au 0.2500 0.2500 0.2500

Output
M_tot, μB/f.u.: 0.0
Final energy, eV per atom: -4.9691
Calculated volume, A^3/atom: 15.42
ΔE to the lowest computed polymorph, meV/atom: 0

---

(5)
# Cu4Pt2Au5

A relaxed Cu4Pt2Au5 crystal (PBE, Alexandria via LeMat-Bulk).

a b c (Å): 5.2698 8.5449 5.5599
angles (deg): 90.10 122.46 61.90
Positions (direct):
Cu 0.0448 0.6933 0.0305
Cu 0.0452 0.6914 0.5128
Cu 0.9552 0.3067 0.9695
Cu 0.9548 0.3086 0.4872
Au 0.8773 0.9869 0.6863
Au 0.3759 0.3673 0.4385
Au 0.1227 0.0131 0.3137
Au 0.5000 0.0000 0.0000
Au 0.6241 0.6327 0.5615
Pt 0.4085 0.3620 0.9554
Pt 0.5915 0.6380 0.0446

Output
M_tot, μB/f.u.: 0.0
Final energy, eV per atom: -4.0847
Calculated volume, A^3/atom: 15.95
ΔE to the lowest computed polymorph, meV/atom: 0

---

(6)
# CuPt2Au

A relaxed CuPt2Au crystal (PBE, Alexandria via LeMat-Bulk).

a b c (Å): 5.4569 5.4569 5.4569
angles (deg): 150.34 128.92 60.19
Positions (direct):
Cu 0.2500 0.7500 0.5000
Pt 0.4876 0.4876 0.0000
Pt 0.0124 0.0124 0.0000
Au 0.7500 0.2500 0.5000

Output
M_tot, μB/f.u.: 0.0
Final energy, eV per atom: -4.9208
Calculated volume, A^3/atom: 15.52
ΔE to the lowest computed polymorph, meV/atom: 48